Entry i
## LaIn2Cl (PBEsol)

Data for a relaxed structure of LaIn2Cl.

**Total moment**: 0.0 Bohr magnetons per cell
**D(E_F)**: 0.593 states/eV per atom

Unit cell a=9.9813 b=9.9813 c=9.9813 alpha=20.23 beta=20.23 gamma=20.23
Last column: nearest neighbours and their distance in Å.
Fractional positions:
La  0.0000  0.0000  0.0000  6 In 3.36, 6 La 3.51
In  0.2420  0.2420  0.2420  3 Cl 3.00
In  0.7580  0.7580  0.7580  3 Cl 3.00
Cl  0.5000  0.5000  0.5000  6 In 3.00

---

Entry ii
## LaIn2Cl (PBEsol)

Data for a relaxed structure of LaIn2Cl.

**Total moment**: 0.0 Bohr magnetons per cell
**D(E_F)**: 0.639 states/eV per atom

Unit cell a=3.7352 b=4.5060 c=6.0070 alpha=90.00 beta=90.00 gamma=90.00
Last column: nearest neighbours and their distance in Å.
Fractional positions:
La  0.0000  0.0000  0.0000  4 Cl 2.93
In  0.0000  0.5000  0.5000  4 In 2.93
In  0.5000  0.0000  0.5000  4 In 2.93
Cl  0.5000  0.5000  0.0000  4 La 2.93

---

Relative energy table, unit meV per atom: entry i 420; entry ii 0

---

Entry i
## LiIn2Cl (PBEsol)

Data for a relaxed structure of LiIn2Cl.

**Total moment**: 0.0 Bohr magnetons per cell
**D(E_F)**: 0.444 states/eV per atom

Unit cell a=3.3001 b=3.3001 c=8.8621 alpha=90.00 beta=90.00 gamma=112.08
Last column: nearest neighbours and their distance in Å.
Fractional positions:
Li  0.0000  0.0000  0.0000  4 In 2.86
In  0.5000  0.5000  0.2462  2 Li 2.86, 2 Cl 2.91
In  0.5000  0.5000  0.7538  2 Li 2.86, 2 Cl 2.91
Cl  0.0000  0.0000  0.5000  4 In 2.91

---

Entry ii
## LiIn2Cl (PBEsol)

Data for a relaxed structure of LiIn2Cl.

**Total moment**: 0.0 Bohr magnetons per cell
**D(E_F)**: 0.443 states/eV per atom

Unit cell a=3.6748 b=4.3425 c=6.4573 alpha=90.00 beta=90.00 gamma=90.00
Last column: nearest neighbours and their distance in Å.
Fractional positions:
Li  0.0000  0.0000  0.0000  4 Cl 2.84
In  0.0000  0.5000  0.5000  4 In 2.84
In  0.5000  0.0000  0.5000  4 In 2.84
Cl  0.5000  0.5000  0.0000  4 Li 2.84

---

Relative energy table, unit meV per atom: entry i 142; entry ii 0

---

Entry i
## MgIn2Cl (PBEsol)

Data for a relaxed structure of MgIn2Cl.

**Total moment**: 0.0 Bohr magnetons per cell
**D(E_F)**: 0.277 states/eV per atom

Unit cell a=9.7422 b=9.7422 c=9.7422 alpha=20.11 beta=20.11 gamma=20.11
Last column: nearest neighbours and their distance in Å.
Fractional positions:
Mg  0.0000  0.0000  0.0000  6 In 3.20, 6 Mg 3.40
In  0.2451  0.2451  0.2451  3 Cl 2.98, 3 Mg 3.20
In  0.7549  0.7549  0.7549  3 Cl 2.98, 3 Mg 3.20
Cl  0.5000  0.5000  0.5000  6 In 2.98

---

Entry ii
## MgIn2Cl (PBEsol)

Data for a relaxed structure of MgIn2Cl.

**Total moment**: 0.0 Bohr magnetons per cell
**D(E_F)**: 0.368 states/eV per atom

Unit cell a=6.0956 b=6.0956 c=5.7286 alpha=117.91 beta=117.91 gamma=31.04
Last column: nearest neighbours and their distance in Å.
Fractional positions:
Mg  0.0000  0.0000  0.0000  2 Cl 2.46
In  0.5260  0.5260  0.5288  5 In 3.26-3.62, 4 Mg 3.29-3.32, 4 Cl 3.44-3.58
In  0.7464  0.7464  0.2545  2 Mg 3.01, 4 In 3.26-3.30
Cl  0.3207  0.3207  0.8285  2 Mg 2.46

---

Entry iii
## MgIn2Cl (PBEsol)

Data for a relaxed structure of MgIn2Cl.

**Total moment**: 0.0 Bohr magnetons per cell
**D(E_F)**: 0.289 states/eV per atom

Unit cell a=3.2997 b=5.0949 c=5.7338 alpha=90.00 beta=90.00 gamma=90.00
Last column: nearest neighbours and their distance in Å.
Fractional positions:
Mg  0.0000  0.0000  0.0000  2 Cl 2.87
In  0.5000  0.5000  0.2495  2 In 2.86-2.87
In  0.5000  0.5000  0.7505  2 In 2.86-2.87
Cl  0.0000  0.0000  0.5000  2 Mg 2.87

---

Relative energy table, unit meV per atom: entry i 137; entry ii 0; entry iii 113

---

Entry i
## InMoCl2 (PBEsol)

Data for a relaxed structure of InMoCl2.

**Total moment**: 0.9 Bohr magnetons per cell
**D(E_F)**: 0.441 states/eV per atom

Unit cell a=3.0846 b=3.0846 c=8.0851 alpha=90.00 beta=90.00 gamma=90.00
Last column: nearest neighbours and their distance in Å.
Fractional positions:
In  0.0000  0.0000  0.0000  4 Cl 2.85, 4 Mo 2.93, 4 In 3.08
Mo  0.5000  0.5000  0.2423  4 Cl 2.58
Cl  0.0000  0.0000  0.4127  4 Mo 2.58
Cl  0.5000  0.5000  0.7727  4 In 2.85, 4 Cl 3.08

---

Entry ii
## InMoCl2 (PBEsol)

Data for a relaxed structure of InMoCl2.

**Total moment**: 0.0 Bohr magnetons per cell
**D(E_F)**: 0.505 states/eV per atom

Unit cell a=10.6346 b=10.6346 c=10.6346 alpha=16.77 beta=16.77 gamma=16.77
Last column: nearest neighbours and their distance in Å.
Fractional positions:
In  0.0000  0.0000  0.0000  6 In 3.10
Mo  0.5000  0.5000  0.5000  6 Cl 2.46
Cl  0.2201  0.2201  0.2201  3 Mo 2.46
Cl  0.7799  0.7799  0.7799  3 Mo 2.46

---

Relative energy table, unit meV per atom: entry i 183; entry ii 0